Entry 1:
# ZnIn2Fe

ZnIn2Fe after structural relaxation (PBE, the Alexandria database).

## Properties
Energy relative to the elements: 0.27 eV/atom

Lattice parameters (Å, degrees): 9.1050 9.1050 9.1050 19.92 19.92 19.92
Fractional coordinates of all 4 atoms:
Zn 0.0000 0.0000 0.0000
In 0.2467 0.2467 0.2467
In 0.7533 0.7533 0.7533
Fe 0.5000 0.5000 0.5000

Entry 2:
# ZnInFe3

ZnInFe3 after structural relaxation (PBE, the Alexandria database).

## Properties
Energy relative to the elements: 0.93 eV/atom

Lattice parameters (Å, degrees): 4.4319 4.4319 4.4319 90.00 90.00 90.00
Fractional coordinates of all 5 atoms:
Zn 0.0000 0.0000 0.0000
In 0.5000 0.5000 0.5000
Fe 0.0000 0.0000 0.5000
Fe 0.0000 0.5000 0.0000
Fe 0.5000 0.0000 0.0000

Total magnetic moment: 2.77, 7.94 (μB per formula unit)